# BaCaOs2, optimized geometry, DFT PBE
# M_tot: 0.00 μB per cell
# Symmetry: P2/m
# Crystal system: monoclinic
# Energy of formation from the pure elements: 0.802 eV per atom
# Polymorph energy (0 for the lowest one): 626 meV/atom
data_BaCaOs2
_cell_length_a 3.057
_cell_length_b 4.743
_cell_length_c 6.856
_cell_angle_alpha 90.00
_cell_angle_beta 90.92
_cell_angle_gamma 90.00
_symmetry_space_group_name_H-M 'P 1'
_symmetry_Int_Tables_number 1
loop_
_symmetry_equiv_pos_as_xyz
'x,y,z'
loop_
_atom_site_label
_atom_site_fract_x
_atom_site_fract_y
_atom_site_fract_z
Ba1 0.000 0.000 0.000
Ca1 0.000 0.000 0.500
Os1 0.495 0.500 0.331
Os2 0.505 0.500 0.669